This record from the Alexandria database describes a relaxed structure of KLiCr2. The functional is GGA-PBE.

abc: 2.8941 4.5308 7.1524
angles: 90.00 90.00 90.00
With the nearest neighbours (Å) after each atom.
Atoms (fractional coordinates):
Li1 0.5000 0.5000 0.7500  8 Cr 2.83, 2 Li 2.89
Cr1 0.0000 0.0000 0.8747  1 Cr 1.78
Cr2 0.0000 0.0000 0.6253  1 Cr 1.78
K1 0.5000 0.5000 0.2500  2 K 2.89

Output
The formation energy from the elements comes out at 1005 meV/atom. As for the energy above the lowest structure with this stoichiometry: 390 meV per atom. The calculation puts the raw total energy at -4.559 eV per atom.

This record from the Alexandria database describes a relaxed structure of Ni2GePb. The functional is GGA-PBE.

abc: 4.4917 4.4917 4.4917
angles: 60.00 60.00 60.00
With the nearest neighbours (Å) after each atom.
Atoms (fractional coordinates):
Ge1 0.0000 0.0000 0.0000  8 Ni 2.75
Ni1 0.7500 0.7500 0.7500  4 Ge 2.75, 4 Pb 2.75
Ni2 0.2500 0.2500 0.2500  4 Pb 2.75, 4 Ge 2.75
Pb1 0.5000 0.5000 0.5000  8 Ni 2.75

Output
The formation energy from the elements comes out at 225 meV/atom. As for the energy above the lowest structure with this stoichiometry: 0 meV per atom. The calculation puts the raw total energy at -4.747 eV per atom.

This record from the Alexandria database describes a relaxed structure of Ca2ZnCr. The functional is GGA-PBE.

abc: 6.1843 6.1843 5.2542
angles: 64.95 64.95 35.19
With the nearest neighbours (Å) after each atom.
Atoms (fractional coordinates):
Ca1 0.9740 0.9740 0.0262  4 Zn 3.29-3.68, 4 Cr 3.31, 4 Ca 3.43-3.59
Ca2 0.7645 0.7645 0.7352  4 Zn 3.26, 4 Ca 3.43-3.59, 4 Cr 3.49-3.52
Zn1 0.2176 0.2176 0.2819  2 Cr 2.62
Cr1 0.5439 0.5439 0.4566  2 Zn 2.62

Output
The formation energy from the elements comes out at 229 meV/atom. The calculation puts the raw total energy at -3.496 eV per atom.

This record from the Alexandria database describes a relaxed structure of Tb4SmY2Ho2. The functional is GGA-PBE.

abc: 3.5942 9.5041 9.5549
angles: 115.22 90.00 100.90
With the nearest neighbours (Å) after each atom.
Atoms (fractional coordinates):
Tb1 0.8148 0.6295 0.6657  6 Tb 3.53-3.59, 3 Y 3.54-3.60, 2 Ho 3.54, 1 Sm 3.55
Tb2 0.1852 0.3705 0.3343  6 Tb 3.53-3.59, 3 Y 3.54-3.60, 2 Ho 3.54, 1 Sm 3.55
Tb3 0.5185 0.0370 0.3337  5 Tb 3.53-3.59, 4 Y 3.54-3.58, 2 Sm 3.54, 1 Ho 3.56
Tb4 0.4815 0.9630 0.6663  5 Tb 3.53-3.59, 4 Y 3.54-3.58, 2 Sm 3.54, 1 Ho 3.56
Sm1 0.0000 0.0000 0.0000  6 Tb 3.54-3.55, 2 Sm 3.59, 4 Ho 3.60
Ho1 0.6676 0.3352 0.0014  3 Y 3.52-3.54, 3 Tb 3.54-3.56, 4 Ho 3.57-3.59, 2 Sm 3.60
Ho2 0.3324 0.6648 0.9986  3 Y 3.52-3.54, 3 Tb 3.54-3.56, 4 Ho 3.57-3.59, 2 Sm 3.60
Y1 0.8521 0.7042 0.3329  3 Ho 3.52-3.54, 7 Tb 3.54-3.60, 2 Y 3.59
Y2 0.1479 0.2958 0.6671  3 Ho 3.52-3.54, 7 Tb 3.54-3.60, 2 Y 3.59

Output
The formation energy from the elements comes out at 1 meV/atom. The calculation puts the raw total energy at -5.035 eV per atom.

This record from the Alexandria database describes a relaxed structure of PuSc8Cd2. The functional is GGA-PBE.

abc: 4.6277 7.3198 8.3559
angles: 106.95 106.08 90.00
With the nearest neighbours (Å) after each atom.
Atoms (fractional coordinates):
Sc1 0.1388 0.1974 0.2776  3 Cd 3.12-3.14, 7 Sc 3.21-3.27, 2 Pu 3.23
Sc2 0.3187 0.0753 0.6374  3 Cd 3.08-3.34, 1 Pu 3.12, 8 Sc 3.16-3.31
Sc3 0.5916 0.4532 0.1832  3 Cd 3.19, 1 Pu 3.20, 8 Sc 3.21-3.31
Sc4 0.4084 0.5468 0.8168  3 Cd 3.19, 1 Pu 3.20, 8 Sc 3.21-3.31
Sc5 0.0498 0.7342 0.0995  1 Cd 3.12, 9 Sc 3.16-3.31, 2 Pu 3.27
Sc6 0.8612 0.8026 0.7224  3 Cd 3.12-3.14, 7 Sc 3.21-3.27, 2 Pu 3.23
Sc7 0.9502 0.2658 0.9005  1 Cd 3.12, 9 Sc 3.16-3.31, 2 Pu 3.27
Sc8 0.6813 0.9247 0.3626  3 Cd 3.08-3.34, 1 Pu 3.12, 8 Sc 3.16-3.31
Pu1 0.5000 0.0000 0.0000  12 Sc 3.12-3.27
Cd1 0.2270 0.6401 0.4540  10 Sc 3.08-3.34, 2 Cd 3.32
Cd2 0.7730 0.3599 0.5460  10 Sc 3.08-3.34, 2 Cd 3.32

Output
The formation energy from the elements comes out at -55 meV/atom. The calculation puts the raw total energy at -6.130 eV per atom.

This record from the Alexandria database describes a relaxed structure of Na2YNpSe4. The functional is GGA-PBE.

abc: 4.1785 7.2484 7.3969
angles: 109.17 90.00 90.00
With the nearest neighbours (Å) after each atom.
Atoms (fractional coordinates):
Np1 0.0000 0.0000 0.0000  6 Se 2.91-2.93
Se1 0.0000 0.7405 0.2313  2 Y 2.89, 1 Np 2.93, 3 Na 3.04-3.07
Se2 0.5000 0.2460 0.2304  1 Y 2.89, 2 Np 2.91, 3 Na 3.05-3.08
Se3 0.0000 0.2595 0.7687  2 Y 2.89, 1 Np 2.93, 3 Na 3.04-3.07
Se4 0.5000 0.7540 0.7696  1 Y 2.89, 2 Np 2.91, 3 Na 3.05-3.08
Y1 0.5000 0.5000 0.0000  6 Se 2.89
Na1 0.0000 0.5000 0.5000  6 Se 3.04-3.05
Na2 0.5000 0.0000 0.5000  6 Se 3.07-3.08

Output
The calculation puts the raw total energy at -5.944 eV per atom.

This record from the Alexandria database describes a relaxed structure of La5HoSn6. The functional is GGA-PBE.

abc: 5.0756 10.4464 9.2325
angles: 55.55 74.05 60.94
With the nearest neighbours (Å) after each atom.
Atoms (fractional coordinates):
Sn1 0.2469 0.5900 0.3260  1 Ho 3.35, 7 La 3.39-3.49, 4 Sn 3.55-3.67
Sn2 0.2563 0.2441 0.0000  6 La 3.36-3.45, 2 Ho 3.38, 4 Sn 3.55
Sn3 0.7531 0.4100 0.6740  1 Ho 3.35, 7 La 3.39-3.49, 4 Sn 3.55-3.67
Sn4 0.7437 0.7559 0.0000  6 La 3.36-3.45, 2 Ho 3.38, 4 Sn 3.55
Sn5 0.2469 0.9159 0.6740  1 Ho 3.35, 7 La 3.39-3.49, 4 Sn 3.55-3.67
Sn6 0.7531 0.0841 0.3260  1 Ho 3.35, 7 La 3.39-3.49, 4 Sn 3.55-3.67
La1 0.0000 0.3330 0.3339  8 Sn 3.43-3.45, 4 La 3.59-3.60
La2 0.5000 0.1654 0.6691  8 Sn 3.36-3.49, 2 Ho 3.58, 2 La 3.60
La3 0.5000 0.8346 0.3309  8 Sn 3.36-3.49, 2 Ho 3.58, 2 La 3.60
La4 0.5000 0.5000 0.0000  8 Sn 3.39-3.45, 4 La 3.59
La5 0.0000 0.6670 0.6661  8 Sn 3.43-3.45, 4 La 3.59-3.60
Ho1 0.0000 0.0000 0.0000  8 Sn 3.35-3.38, 4 La 3.58

Output
The formation energy from the elements comes out at -712 meV/atom. The calculation puts the raw total energy at -5.148 eV per atom.

This record from the Alexandria database describes a relaxed structure of LuScPaTc. The functional is GGA-PBE.

abc: 4.9693 4.9693 4.9693
angles: 60.00 60.00 60.00
With the nearest neighbours (Å) after each atom.
Atoms (fractional coordinates):
Pa1 0.5000 0.5000 0.5000  4 Tc 3.04, 4 Sc 3.04
Tc1 0.2500 0.2500 0.2500  4 Pa 3.04, 4 Lu 3.04
Lu1 0.0000 0.0000 0.0000  4 Sc 3.04, 4 Tc 3.04
Sc1 0.7500 0.7500 0.7500  4 Pa 3.04, 4 Lu 3.04

Output
The formation energy from the elements comes out at 35 meV/atom. The calculation puts the raw total energy at -7.643 eV per atom.